(1)
# K2Bi2SbS6, relaxed, DFT PBE
data_K2Bi2SbS6
_symmetry_space_group_name_H-M 'P 1'
_symmetry_Int_Tables_number 1
_cell_length_a 6.951
_cell_length_b 6.951
_cell_length_c 8.032
_cell_angle_alpha 98.58
_cell_angle_beta 98.58
_cell_angle_gamma 119.45
loop_
_symmetry_equiv_pos_as_xyz
'x,y,z'
loop_
_atom_site_label
_atom_site_type_symbol
_atom_site_fract_x
_atom_site_fract_y
_atom_site_fract_z
_atom_site_occupancy
K1 K 0.830 0.170 0.000 1
K2 K 0.170 0.830 0.000 1
Bi1 Bi 0.332 0.668 0.500 1
Bi2 Bi 0.668 0.332 0.500 1
Sb1 Sb 0.000 0.000 0.500 1
S1 S 0.761 0.761 0.702 1
S2 S 0.067 0.385 0.702 1
S3 S 0.239 0.239 0.298 1
S4 S 0.385 0.067 0.702 1
S5 S 0.933 0.615 0.298 1
S6 S 0.615 0.933 0.298 1
# final energy: -4.135 eV/atom
# magnetic moment: 0.00 μB per cell

---

(2)
# K4Bi3SbS8, relaxed, DFT PBE
data_K4Bi3SbS8
_symmetry_space_group_name_H-M 'P 1'
_symmetry_Int_Tables_number 1
_cell_length_a 8.267
_cell_length_b 8.844
_cell_length_c 8.268
_cell_angle_alpha 117.87
_cell_angle_beta 120.00
_cell_angle_gamma 90.00
loop_
_symmetry_equiv_pos_as_xyz
'x,y,z'
loop_
_atom_site_label
_atom_site_type_symbol
_atom_site_fract_x
_atom_site_fract_y
_atom_site_fract_z
_atom_site_occupancy
K1 K 0.500 0.000 0.000 1
K2 K 0.500 0.000 0.500 1
K3 K 0.000 0.000 0.000 1
K4 K 0.000 0.000 0.500 1
Bi1 Bi 0.500 0.500 0.000 1
Bi2 Bi 0.500 0.500 0.500 1
Bi3 Bi 0.000 0.500 0.500 1
Sb1 Sb 0.000 0.500 0.000 1
S1 S 0.234 0.709 0.976 1
S2 S 0.234 0.709 0.468 1
S3 S 0.263 0.288 0.525 1
S4 S 0.742 0.709 0.976 1
S5 S 0.258 0.291 0.024 1
S6 S 0.737 0.712 0.475 1
S7 S 0.766 0.291 0.532 1
S8 S 0.766 0.291 0.024 1
# final energy: -4.096 eV/atom
# magnetic moment: 0.00 μB per cell

---

(3)
# K3Sc2BiS6, relaxed, DFT PBE
data_K3Sc2BiS6
_symmetry_space_group_name_H-M 'P 1'
_symmetry_Int_Tables_number 1
_cell_length_a 6.858
_cell_length_b 6.858
_cell_length_c 7.664
_cell_angle_alpha 98.61
_cell_angle_beta 98.61
_cell_angle_gamma 120.00
loop_
_symmetry_equiv_pos_as_xyz
'x,y,z'
loop_
_atom_site_label
_atom_site_type_symbol
_atom_site_fract_x
_atom_site_fract_y
_atom_site_fract_z
_atom_site_occupancy
K1 K 0.162 0.838 0.500 1
K2 K 0.838 0.162 0.500 1
K3 K 0.500 0.500 0.500 1
Sc1 Sc 0.333 0.667 0.000 1
Sc2 Sc 0.667 0.333 0.000 1
Bi1 Bi 0.000 0.000 0.000 1
S1 S 0.934 0.580 0.803 1
S2 S 0.712 0.712 0.196 1
S3 S 0.066 0.420 0.197 1
S4 S 0.580 0.934 0.803 1
S5 S 0.288 0.288 0.804 1
S6 S 0.420 0.066 0.197 1
# final energy: -5.150 eV/atom
# magnetic moment: 0.00 μB per cell

---

(4)
# K3ScBi2S6, relaxed, DFT PBE
data_K3ScBi2S6
_symmetry_space_group_name_H-M 'P 1'
_symmetry_Int_Tables_number 1
_cell_length_a 7.044
_cell_length_b 7.044
_cell_length_c 7.724
_cell_angle_alpha 98.77
_cell_angle_beta 98.77
_cell_angle_gamma 120.01
loop_
_symmetry_equiv_pos_as_xyz
'x,y,z'
loop_
_atom_site_label
_atom_site_type_symbol
_atom_site_fract_x
_atom_site_fract_y
_atom_site_fract_z
_atom_site_occupancy
K1 K 0.171 0.829 0.500 1
K2 K 0.829 0.171 0.500 1
K3 K 0.500 0.500 0.500 1
Sc1 Sc 0.000 0.000 0.000 1
Bi1 Bi 0.334 0.666 0.000 1
Bi2 Bi 0.666 0.334 0.000 1
S1 S 0.932 0.620 0.798 1
S2 S 0.756 0.756 0.203 1
S3 S 0.068 0.380 0.202 1
S4 S 0.620 0.932 0.798 1
S5 S 0.244 0.244 0.797 1
S6 S 0.380 0.068 0.202 1
# final energy: -4.628 eV/atom
# magnetic moment: 0.00 μB per cell

---

(5)
# KScBi2S, relaxed, DFT PBE
data_KScBi2S
_symmetry_space_group_name_H-M 'P 1'
_symmetry_Int_Tables_number 1
_cell_length_a 5.470
_cell_length_b 7.617
_cell_length_c 5.470
_cell_angle_alpha 90.00
_cell_angle_beta 90.00
_cell_angle_gamma 90.00
loop_
_symmetry_equiv_pos_as_xyz
'x,y,z'
loop_
_atom_site_label
_atom_site_type_symbol
_atom_site_fract_x
_atom_site_fract_y
_atom_site_fract_z
_atom_site_occupancy
Sc1 Sc 0.000 0.000 0.000 1
K1 K 0.000 0.500 0.000 1
S1 S 0.500 0.500 0.500 1
Bi1 Bi 0.000 0.000 0.500 1
Bi2 Bi 0.500 0.000 0.000 1
# final energy: -3.555 eV/atom
# magnetic moment: 1.15 μB per cell

---

(6)
# KBiSeS, relaxed, DFT PBE
data_KBiSeS
_symmetry_space_group_name_H-M 'P 1'
_symmetry_Int_Tables_number 1
_cell_length_a 4.201
_cell_length_b 4.202
_cell_length_c 8.152
_cell_angle_alpha 90.01
_cell_angle_beta 104.93
_cell_angle_gamma 119.99
loop_
_symmetry_equiv_pos_as_xyz
'x,y,z'
loop_
_atom_site_label
_atom_site_type_symbol
_atom_site_fract_x
_atom_site_fract_y
_atom_site_fract_z
_atom_site_occupancy
K1 K 0.973 0.385 0.373 1
Bi1 Bi 0.298 0.546 0.860 1
Se1 Se 0.110 0.953 0.079 1
S1 S 0.496 0.146 0.658 1
# final energy: -3.926 eV/atom
# magnetic moment: 0.00 μB per cell

---

(7)
# KSiBiS4, relaxed, DFT PBE
data_KSiBiS4
_symmetry_space_group_name_H-M 'P 1'
_symmetry_Int_Tables_number 1
_cell_length_a 6.800
_cell_length_b 6.584
_cell_length_c 17.509
_cell_angle_alpha 73.05
_cell_angle_beta 90.00
_cell_angle_gamma 90.00
loop_
_symmetry_equiv_pos_as_xyz
'x,y,z'
loop_
_atom_site_label
_atom_site_type_symbol
_atom_site_fract_x
_atom_site_fract_y
_atom_site_fract_z
_atom_site_occupancy
K1 K 0.252 0.277 0.966 1
K2 K 0.752 0.723 0.534 1
K3 K 0.748 0.723 0.034 1
K4 K 0.248 0.277 0.466 1
Si1 Si 0.735 0.212 0.841 1
Si2 Si 0.235 0.788 0.659 1
Si3 Si 0.265 0.788 0.159 1
Si4 Si 0.765 0.212 0.341 1
Bi1 Bi 0.802 0.762 0.778 1
Bi2 Bi 0.302 0.238 0.722 1
Bi3 Bi 0.198 0.238 0.222 1
Bi4 Bi 0.698 0.762 0.278 1
S1 S 0.500 0.990 0.867 1
S2 S 0.000 0.010 0.633 1
S3 S 0.500 0.010 0.133 1
S4 S 0.000 0.990 0.367 1
S5 S 0.752 0.417 0.915 1
S6 S 0.252 0.583 0.585 1
S7 S 0.248 0.583 0.085 1
S8 S 0.748 0.417 0.415 1
S9 S 0.993 0.019 0.856 1
S10 S 0.493 0.981 0.644 1
S11 S 0.007 0.981 0.144 1
S12 S 0.507 0.019 0.356 1
S13 S 0.685 0.404 0.720 1
S14 S 0.185 0.596 0.780 1
S15 S 0.315 0.596 0.280 1
S16 S 0.815 0.404 0.220 1
# magnetic moment: 0.00 μB per cell
# distance to the lowest polymorph of the same formula: 0.00 kJ/mol of atoms

---

(8)
# KSiBiS4, relaxed, DFT PBE
data_KSiBiS4
_symmetry_space_group_name_H-M 'P 1'
_symmetry_Int_Tables_number 1
_cell_length_a 6.580
_cell_length_b 6.756
_cell_length_c 8.749
_cell_angle_alpha 90.00
_cell_angle_beta 107.26
_cell_angle_gamma 90.00
loop_
_symmetry_equiv_pos_as_xyz
'x,y,z'
loop_
_atom_site_label
_atom_site_type_symbol
_atom_site_fract_x
_atom_site_fract_y
_atom_site_fract_z
_atom_site_occupancy
K1 K 0.726 0.750 0.936 1
K2 K 0.274 0.250 0.064 1
Si1 Si 0.224 0.750 0.324 1
Si2 Si 0.776 0.250 0.676 1
Bi1 Bi 0.767 0.750 0.455 1
Bi2 Bi 0.233 0.250 0.545 1
S1 S 0.990 0.496 0.718 1
S2 S 0.010 0.996 0.282 1
S3 S 0.010 0.504 0.282 1
S4 S 0.990 0.004 0.718 1
S5 S 0.420 0.750 0.171 1
S6 S 0.580 0.250 0.829 1
S7 S 0.418 0.750 0.568 1
S8 S 0.582 0.250 0.432 1
# magnetic moment: 0.00 μB per cell
# distance to the lowest polymorph of the same formula: 1.10 kJ/mol of atoms

---

(9)
# K3Sm3BiS8, relaxed, DFT PBE
data_K3Sm3BiS8
_symmetry_space_group_name_H-M 'P 1'
_symmetry_Int_Tables_number 1
_cell_length_a 8.207
_cell_length_b 8.206
_cell_length_c 8.879
_cell_angle_alpha 117.54
_cell_angle_beta 90.00
_cell_angle_gamma 120.01
loop_
_symmetry_equiv_pos_as_xyz
'x,y,z'
loop_
_atom_site_label
_atom_site_type_symbol
_atom_site_fract_x
_atom_site_fract_y
_atom_site_fract_z
_atom_site_occupancy
K1 K 0.000 0.000 0.000 1
K2 K 0.000 0.500 0.000 1
K3 K 0.500 0.500 0.000 1
Sm1 Sm 0.500 0.000 0.500 1
Sm2 Sm 0.500 0.500 0.500 1
Sm3 Sm 0.000 0.500 0.500 1
Bi1 Bi 0.000 0.000 0.500 1
S1 S 0.266 0.531 0.297 1
S2 S 0.734 0.469 0.703 1
S3 S 0.769 0.539 0.299 1
S4 S 0.231 0.461 0.701 1
S5 S 0.769 0.029 0.299 1
S6 S 0.231 0.971 0.701 1
S7 S 0.260 0.029 0.299 1
S8 S 0.740 0.971 0.701 1
# final energy: -5.127 eV/atom
# magnetic moment: 0.00 μB per cell

---

(10)
# K4Sm3BiS8, relaxed, DFT PBE
data_K4Sm3BiS8
_symmetry_space_group_name_H-M 'P 1'
_symmetry_Int_Tables_number 1
_cell_length_a 8.302
_cell_length_b 8.808
_cell_length_c 8.302
_cell_angle_alpha 118.14
_cell_angle_beta 120.00
_cell_angle_gamma 90.00
loop_
_symmetry_equiv_pos_as_xyz
'x,y,z'
loop_
_atom_site_label
_atom_site_type_symbol
_atom_site_fract_x
_atom_site_fract_y
_atom_site_fract_z
_atom_site_occupancy
K1 K 0.500 0.000 0.000 1
K2 K 0.500 0.000 0.500 1
K3 K 0.000 0.000 0.000 1
K4 K 0.000 0.000 0.500 1
Sm1 Sm 0.500 0.500 0.000 1
Sm2 Sm 0.500 0.500 0.500 1
Sm3 Sm 0.000 0.500 0.500 1
Bi1 Bi 0.000 0.500 0.000 1
S1 S 0.237 0.707 0.970 1
S2 S 0.237 0.707 0.474 1
S3 S 0.265 0.295 0.530 1
S4 S 0.733 0.707 0.970 1
S5 S 0.267 0.293 0.030 1
S6 S 0.735 0.705 0.470 1
S7 S 0.763 0.293 0.526 1
S8 S 0.763 0.293 0.030 1
# final energy: -5.067 eV/atom
# magnetic moment: 0.00 μB per cell